First-principles (SCAN) data for a crystal of LaAgCl3 relaxed with PBEsol, as listed in the Alexandria database.

Computed properties:
energy	-21.221	eV per atom
formation energy from raw total energies	-1540	meV per atom

```
data_LaAgCl3
_cell_length_a 5.496
_cell_length_b 5.496
_cell_length_c 5.496
_cell_angle_alpha 90.00
_cell_angle_beta 90.00
_cell_angle_gamma 90.00
_space_group_name_H-M_alt 'P m -3 m'
_space_group_IT_number 221
_space_group_name_Hall '-P 4 2 3'
loop_
_atom_site_label
_atom_site_type_symbol
_atom_site_fract_x
_atom_site_fract_y
_atom_site_fract_z
_atom_site_occupancy
La1 La 0.000 0.000 0.000 1
Ag1 Ag 0.500 0.500 0.500 1
Cl1 Cl 0.000 0.000 0.500 1
```